Record 1
## PmPu3Zn8 (PBE)

Data for PmPu3Zn8 after structural relaxation.

## Properties
The formation energy is -0.1852 eV per atom. The calculation puts the magnetic moment at 5.58 μB/cell. The final energy comes out at -5.013 eV/atom. For the density, the calculation gives 10.050 g/cm³.

Lattice parameters (Å, degrees): 5.5281 5.5281 8.7417 90.00 90.00 120.00
With the nearest neighbours (Å) after each atom.
Space group P3m1 (No. 156)
One atom of each set of equivalent atoms:
1 Pm 0.0000 0.0000 0.0000 [1 per cell]  12 Zn 3.19-3.24, 4 Pu 3.35-3.43
2 Pu 0.0000 0.0000 0.3834 [1 per cell]  12 Zn 3.08-3.27, 3 Pu 3.34, 1 Pm 3.35
3 Pu 0.6667 0.3333 0.4959 [1 per cell]  4 Pu 3.15-3.34, 12 Zn 3.16-3.24
4 Pu 0.6667 0.3333 0.8563 [1 per cell]  12 Zn 3.15-3.27, 1 Pu 3.15, 3 Pm 3.43
5 Zn 0.1684 0.3369 0.6836 [3 per cell]  6 Zn 2.71-2.79
6 Zn 0.3333 0.6667 0.4309 [1 per cell]  6 Zn 2.70-2.72
7 Zn 0.3333 0.6667 0.9349 [1 per cell]  6 Zn 2.70-2.71
8 Zn 0.5014 0.0029 0.1832 [3 per cell]  6 Zn 2.70-2.79


Record 2
## HfHgS2 (PBE)

Data for HfHgS2 after structural relaxation.

## Properties
The value obtained for the formation energy without anion corrections is -877 meV/atom. The calculation puts the magnetic moment at 0.00 μB/cell. The final energy comes out at -5.504 eV/atom. For the density, the calculation gives 5.867 g/cm³.

Lattice parameters (Å, degrees): 6.4496 12.8262 6.6321 90.00 113.85 90.00
With the nearest neighbours (Å) after each atom.
Space group C2/c (No. 15)
One atom of each set of equivalent atoms:
1 Hf 0.0000 0.0143 0.2500 [4 per cell]  4 S 2.41-2.44
2 Hg 0.0000 0.3471 0.7500 [4 per cell]  8 S 3.63-4.00, 2 Hf 3.68
3 S 0.1909 0.1046 0.6006 [8 per cell]  2 Hf 2.41-2.44


Record 3
## Ce6AgIr3 (PBE)

Data for Ce6AgIr3 after structural relaxation.

## Properties
The formation energy is -0.3908 eV per atom. The calculation puts the magnetic moment at 12.49 μB/cell. The final energy comes out at -6.895 eV/atom. For the density, the calculation gives 9.596 g/cm³.

Lattice parameters (Å, degrees): 10.9354 13.9654 6.9127 90.00 90.00 90.00
With the nearest neighbours (Å) after each atom.
Space group Cmc2_1 (No. 36)
One atom of each set of equivalent atoms:
1 Ce 0.0000 0.0025 0.0000 [4 per cell]  4 Ir 2.84-2.91
2 Ce 0.0000 0.2328 0.2575 [4 per cell]  3 Ir 2.83-2.87, 2 Ce 2.94
3 Ce 0.1643 0.4411 0.4430 [8 per cell]  4 Ir 2.73-2.99
4 Ce 0.1975 0.2952 0.9977 [8 per cell]  2 Ir 2.76-2.98, 1 Ce 2.94
5 Ag 0.0000 0.2044 0.7180 [4 per cell]  5 Ce 3.16-3.43
6 Ir 0.0000 0.4277 0.1277 [4 per cell]  7 Ce 2.83-2.98
7 Ir 0.1785 0.0866 0.2450 [8 per cell]  6 Ce 2.73-2.99


Record 4
## Ca2PtS (PBE)

Data for Ca2PtS after structural relaxation.

## Properties
The value obtained for the formation energy without anion corrections is -1115 meV/atom. The calculation puts the magnetic moment at 0.00 μB/cell. The final energy comes out at -4.657 eV/atom. For the density, the calculation gives 4.670 g/cm³.

Lattice parameters (Å, degrees): 7.2498 7.2498 8.3161 90.00 90.00 90.00
With the nearest neighbours (Å) after each atom.
Space group I-42d (No. 122)
One atom of each set of equivalent atoms:
1 Ca 0.2381 0.2500 0.1250 [8 per cell]  2 S 2.71, 2 Pt 2.82
2 Pt 0.0000 0.0000 0.5000 [4 per cell]  4 Ca 2.82
3 S 0.0000 0.0000 0.0000 [4 per cell]  4 Ca 2.71


Record 5
## Cs2CaSn2 (PBE)

Data for Cs2CaSn2 after structural relaxation.

## Properties
The formation energy is -0.1031 eV per atom. The calculation puts the magnetic moment at 2.23 μB/cell. The final energy comes out at -2.446 eV/atom. For the density, the calculation gives 3.846 g/cm³.

Lattice parameters (Å, degrees): 8.5141 8.5141 6.4720 90.00 90.00 90.00
With the nearest neighbours (Å) after each atom.
Space group P4/mbm (No. 127)
One atom of each set of equivalent atoms:
1 Cs 0.1754 0.3246 0.0000 [4 per cell]  6 Sn 4.09-4.11, 5 Cs 4.22-4.44, 4 Ca 4.51
2 Ca 0.0000 0.0000 0.5000 [2 per cell]  4 Sn 3.41
3 Sn 0.1169 0.6169 0.5000 [4 per cell]  1 Sn 2.82


Record 6
## MnFe2Pb (PBE)

Data for MnFe2Pb after structural relaxation.

## Properties
The formation energy is 0.7258 eV per atom. The calculation puts the magnetic moment at 21.30 μB/cell. The final energy comes out at -6.725 eV/atom. For the density, the calculation gives 9.625 g/cm³.

Lattice parameters (Å, degrees): 2.9894 2.9894 24.9988 90.00 90.00 120.00
With the nearest neighbours (Å) after each atom.
Space group R-3m (No. 166, hexagonal axes)
One atom of each set of equivalent atoms:
1 Mn 0.0000 0.0000 0.0000 [3 per cell]  6 Fe 2.47
2 Fe 0.0000 0.0000 0.2626 [6 per cell]  3 Mn 2.47
3 Pb 0.0000 0.0000 0.5000 [3 per cell]  6 Fe 2.95, 6 Pb 2.99


Record 7
## RbBaCa2Au (PBE)

Data for RbBaCa2Au after structural relaxation.

## Properties
The formation energy is -0.1492 eV per atom. The calculation puts the magnetic moment at 0.00 μB/cell. For the offset from the most stable computed form, the calculation gives 0.550 eV/f.u. The final energy comes out at -2.183 eV/atom. For the density, the calculation gives 3.527 g/cm³.

Lattice parameters (Å, degrees): 5.9415 5.9415 6.6679 90.00 90.00 90.00
With the nearest neighbours (Å) after each atom.
Space group P4/mmm (No. 123)
One atom of each set of equivalent atoms:
1 Rb 0.0000 0.0000 0.0000 [1 per cell]  2 Au 3.33
2 Ba 0.5000 0.5000 0.0000 [1 per cell]  4 Rb 4.20, 8 Ca 4.47
3 Ca 0.0000 0.5000 0.5000 [2 per cell]  2 Au 2.97
4 Au 0.0000 0.0000 0.5000 [1 per cell]  4 Ca 2.97


Record 8
## LaScBiTe (PBE)

Data for LaScBiTe after structural relaxation.

## Properties
The value obtained for the formation energy without anion corrections is -913 meV/atom. The calculation puts the magnetic moment at 5.74 μB/cell. The final energy comes out at -5.484 eV/atom. For the density, the calculation gives 6.296 g/cm³.

Lattice parameters (Å, degrees): 5.3072 5.3072 33.7638 90.00 90.00 120.00
With the nearest neighbours (Å) after each atom.
Space group R-3m (No. 166, hexagonal axes)
One atom of each set of equivalent atoms:
1 La 0.0000 0.0000 0.1083 [6 per cell]  4 Te 3.14-3.25
2 Sc 0.0000 0.0000 0.2950 [6 per cell]  4 Bi 2.98-3.09, 1 Te 3.05
3 Bi 0.0000 0.0000 0.3832 [6 per cell]  4 Sc 2.98-3.09
4 Te 0.0000 0.0000 0.2047 [6 per cell]  1 Sc 3.05, 4 La 3.14-3.25


Record 9
## TbAgSnBr6 (PBE)

Data for TbAgSnBr6 after structural relaxation.

## Properties
The value obtained for the formation energy without anion corrections is -1136 meV/atom. The calculation puts the magnetic moment at 0.00 μB/cell. The final energy comes out at -3.527 eV/atom. For the density, the calculation gives 4.792 g/cm³.

Lattice parameters (Å, degrees): 7.2112 7.2112 13.3118 90.00 90.00 120.00
With the nearest neighbours (Å) after each atom.
Space group P-31c (No. 163)
One atom of each set of equivalent atoms:
1 Tb 0.3333 0.6667 0.2500 [2 per cell]  6 Br 2.83
2 Ag 0.3333 0.6667 0.7500 [2 per cell]  6 Br 2.90
3 Sn 0.0000 0.0000 0.0000 [2 per cell]  6 Br 3.02
4 Br 0.0073 0.3498 0.1276 [12 per cell]  1 Tb 2.83, 1 Ag 2.90, 1 Sn 3.02


Record 10
## Hf2Zn (PBE)

Data for Hf2Zn after structural relaxation.

## Properties
The formation energy is -0.1727 eV per atom. The calculation puts the magnetic moment at 0.00 μB/cell. The final energy comes out at -7.233 eV/atom. For the density, the calculation gives 11.788 g/cm³.

Lattice parameters (Å, degrees): 3.2308 3.2308 11.4012 90.00 90.00 90.00
With the nearest neighbours (Å) after each atom.
Space group I4/mmm (No. 139)
One atom of each set of equivalent atoms:
1 Hf 0.0000 0.0000 0.1592 [4 per cell]  4 Zn 2.92, 8 Hf 3.08-3.23
2 Zn 0.0000 0.0000 0.5000 [2 per cell]  8 Hf 2.92, 4 Zn 3.23